Below is Dy2HfScAs4 after structural relaxation, with properties calculated at the PBE level.

Structure (CIF):
```
data_Dy2HfScAs4
_space_group_name_H-M_alt 'P 1'
_space_group_IT_number 1
_cell_length_a 6.879
_cell_length_b 3.975
_cell_length_c 6.897
_cell_angle_alpha 90.00
_cell_angle_beta 109.32
_cell_angle_gamma 90.00
loop_
_space_group_symop_operation_xyz
'x,y,z'
loop_
_atom_site_label
_atom_site_type_symbol
_atom_site_fract_x
_atom_site_fract_y
_atom_site_fract_z
Dy1 Dy 0.000 0.000 0.000
Dy2 Dy 0.500 0.500 0.000
Hf1 Hf 0.000 0.500 0.500
Sc1 Sc 0.500 0.000 0.500
As1 As 0.243 0.000 0.733
As2 As 0.254 0.500 0.266
As3 As 0.746 0.500 0.734
As4 As 0.757 0.000 0.267
```

Results
Its space group is P2/m. Its density of states at the Fermi level is 1.3 states/eV/cell. The total DFT energy (no corrections) is -6.88 eV/atom. The value obtained for the formation energy is -31.64 kcal/mol of atoms.